The following is a DFT calculation (PBE) of an optimized crystal structure of Na3SnHg3.

Computed properties:
- space-group type = No. 176
- offset from the most stable computed form (eV/f.u.) = 0.049
- crystal system = hexagonal
- raw total energy (eV per atom) = -1.45

a = 5.451 Å, b = 8.761 Å, c = 8.761 Å
α = 120.00°, β = 90.00°, γ = 90.00°
Element x y z (fractional)
Na: 0.750 0.634 0.537
Na: 0.750 0.463 0.097
Na: 0.750 0.903 0.366
Na: 0.250 0.366 0.463
Na: 0.250 0.537 0.903
Na: 0.250 0.097 0.634
Sn: 0.250 0.667 0.333
Sn: 0.750 0.333 0.667
Hg: 0.250 0.811 0.751
Hg: 0.250 0.249 0.060
Hg: 0.250 0.940 0.189
Hg: 0.750 0.189 0.249
Hg: 0.750 0.751 0.940
Hg: 0.750 0.060 0.811

The following is a DFT calculation (PBE) of an optimized crystal structure of HfCu2POs.

Computed properties:
- space-group type = No. 123
- crystal system = tetragonal
- raw total energy (eV per atom) = -5.10

a = 4.789 Å, b = 4.789 Å, c = 4.776 Å
α = 90.00°, β = 90.00°, γ = 90.00°
Element x y z (fractional)
Hf: 0.000 0.000 0.000
Os: 0.000 0.000 0.500
Cu: 0.000 0.500 0.000
Cu: 0.500 0.000 0.000
P: 0.500 0.500 0.500

The following is a DFT calculation (PBE) of an optimized crystal structure of Tm2Zn5Sn.

Computed properties:
- space-group type = No. 63
- crystal system = orthorhombic
- raw total energy (eV per atom) = -2.80

a = 4.285 Å, b = 8.328 Å, c = 9.005 Å
α = 90.00°, β = 90.00°, γ = 104.91°
Element x y z (fractional)
Tm: 0.800 0.600 0.750
Tm: 0.200 0.400 0.250
Tm: 0.000 0.000 0.000
Tm: 0.000 0.000 0.500
Zn: 0.189 0.378 0.892
Zn: 0.811 0.622 0.108
Zn: 0.189 0.378 0.608
Zn: 0.811 0.622 0.392
Zn: 0.346 0.692 0.979
Zn: 0.654 0.308 0.021
Zn: 0.346 0.692 0.521
Zn: 0.654 0.308 0.479
Zn: 0.613 0.226 0.750
Zn: 0.387 0.774 0.250
Sn: 0.451 0.902 0.750
Sn: 0.549 0.098 0.250